1.
Below is an optimized crystal structure of La2Cu2Ag, with properties calculated at the PBE level.

Results
Crystal system: tetragonal
DOS at the Fermi energy (states/eV/f.u.): 4.833
Energy relative to the elements (meV per atom): -42
Distance to the lowest polymorph of the same formula (eV/atom): 0.1982
Magnetic moment (μB/f.u.): 0.41

Unit cell a=3.6011 b=3.6011 c=18.2810 alpha=90.00 beta=90.00 gamma=90.00
Last column: nearest neighbours and their distance in Å.
Space group I4/mmm (No. 139)
Inequivalent atoms, fractional coordinates:
La 0.0000 0.0000 0.1140  4 Cu 3.07, 4 Ag 3.29
Cu 0.0000 0.5000 0.2500  4 Cu 2.55
Ag 0.0000 0.0000 0.5000  8 La 3.29, 4 Ag 3.60



2.
Below is an optimized crystal structure of PmTmMn, with properties calculated at the PBE level.

Results
Crystal system: orthorhombic
DOS at the Fermi energy (states/eV/f.u.): 4.617
Energy relative to the elements (meV per atom): 180
Distance to the lowest polymorph of the same formula (eV/atom): 0.0069
Magnetic moment (μB/f.u.): 1.68

Unit cell a=6.7600 b=12.3392 c=7.5284 alpha=90.00 beta=90.00 gamma=90.00
Last column: nearest neighbours and their distance in Å.
Space group Cmce (No. 64)
Inequivalent atoms, fractional coordinates:
Pm 0.0000 0.1948 0.1087  2 Mn 2.86-2.87
Tm 0.2500 0.0462 0.7500  4 Mn 2.86-2.87
Mn 0.0000 0.0937 0.4526  1 Mn 2.42



3.
Below is an optimized crystal structure of Cs2Tb2BiS6, with properties calculated at the PBE level.

Results
Crystal system: monoclinic
DOS at the Fermi energy (states/eV/f.u.): 4.836
Formation energy from raw total energies (eV per atom): -1.37
Magnetic moment (μB/f.u.): 0.00

Unit cell a=7.0163 b=12.1641 c=8.6424 alpha=90.00 beta=105.76 gamma=90.00
Last column: nearest neighbours and their distance in Å.
Space group C2/m (No. 12)
Inequivalent atoms, fractional coordinates:
Cs 0.0000 0.1667 0.0000  6 S 3.54-3.55
Tb 0.0000 0.3330 0.5000  6 S 2.77-2.78
Bi 0.0000 0.0000 0.5000  6 S 2.77-2.78
S 0.2271 0.1670 0.6803  2 Tb 2.77-2.78, 1 Bi 2.78
S 0.2278 0.5000 0.6797  1 Bi 2.77, 2 Tb 2.78



4.
Below is an optimized crystal structure of Ta3Cr5, with properties calculated at the PBE level.

Results
Crystal system: orthorhombic
DOS at the Fermi energy (states/eV/f.u.): 5.408
Energy relative to the elements (meV per atom): 95
Distance to the lowest polymorph of the same formula (eV/atom): 0.0756
Magnetic moment (μB/f.u.): 0.00

Unit cell a=6.0970 b=8.6024 c=8.6439 alpha=90.00 beta=90.00 gamma=90.00
Last column: nearest neighbours and their distance in Å.
Space group Amm2 (No. 38)
Inequivalent atoms, fractional coordinates:
Ta 0.0000 0.0000 0.0000  6 Cr 2.61-2.66, 2 Ta 2.73
Ta 0.0000 0.2394 0.7542  6 Cr 2.60-2.70, 2 Ta 2.74
Ta 0.2584 0.0000 0.2586  4 Cr 2.66-2.69, 5 Ta 2.71-2.95
Ta 0.5000 0.0000 0.5224  6 Cr 2.53-2.62, 2 Ta 2.71
Cr 0.0000 0.0000 0.5105  6 Cr 2.67-2.69, 4 Ta 2.69-2.95
Cr 0.2589 0.2490 0.0074  4 Cr 2.57-2.67, 4 Ta 2.62-2.70
Cr 0.2607 0.0000 0.7611  4 Ta 2.53-2.61, 4 Cr 2.54-2.69
Cr 0.5000 0.0000 0.0009  6 Cr 2.54-2.60, 2 Ta 2.67
Cr 0.5000 0.2423 0.7637  6 Cr 2.54-2.66, 2 Ta 2.66



5.
Below is an optimized crystal structure of Tm5InOs2, with properties calculated at the PBE level.

Results
Crystal system: tetragonal
DOS at the Fermi energy (states/eV/f.u.): 4.302
Energy relative to the elements (meV per atom): -369
Magnetic moment (μB/f.u.): 0.00

Unit cell a=7.6355 b=7.6355 c=13.5218 alpha=90.00 beta=90.00 gamma=90.00
Last column: nearest neighbours and their distance in Å.
Space group I4/mcm (No. 140)
Inequivalent atoms, fractional coordinates:
Tm 0.0000 0.0000 0.0000  4 Os 2.95
Tm 0.1601 0.3399 0.1318  3 Os 2.81-2.90
In 0.0000 0.0000 0.2500  10 Tm 3.28-3.38
Os 0.1393 0.3607 0.5000  8 Tm 2.81-2.95, 1 Os 3.01



6.
Below is an optimized crystal structure of Tl3Ni2Se4, with properties calculated at the PBE level.

Results
Crystal system: monoclinic
DOS at the Fermi energy (states/eV/f.u.): 5.713
Formation energy from raw total energies (eV per atom): -0.26
Magnetic moment (μB/f.u.): 0.00

Unit cell a=14.3577 b=10.2356 c=6.5251 alpha=90.00 beta=91.77 gamma=90.00
Last column: nearest neighbours and their distance in Å.
Space group C2/c (No. 15)
Inequivalent atoms, fractional coordinates:
Tl 0.0000 0.0920 0.2500  6 Se 3.18-3.39
Tl 0.1192 0.3627 0.5148  5 Se 3.13-3.36
Ni 0.2168 0.1302 0.9360  4 Se 2.32-2.34
Se 0.1274 0.3128 0.0064  2 Ni 2.32-2.33
Se 0.1772 0.0637 0.6018  2 Ni 2.34



7.
Below is an optimized crystal structure of TaTeW, with properties calculated at the PBE level.

Results
Crystal system: cubic
DOS at the Fermi energy (states/eV/f.u.): 3.298
Formation energy from raw total energies (eV per atom): 0.63
Distance to the lowest polymorph of the same formula (eV/atom): 0.1674
Magnetic moment (μB/f.u.): 0.00

Unit cell a=6.3593 b=6.3593 c=6.3593 alpha=90.00 beta=90.00 gamma=90.00
Last column: nearest neighbours and their distance in Å.
Space group F-43m (No. 216)
Inequivalent atoms, fractional coordinates:
Ta 0.0000 0.0000 0.0000  4 W 2.75
Te 0.0000 0.0000 0.5000  4 W 2.75
W 0.2500 0.2500 0.2500  4 Te 2.75, 4 Ta 2.75



8.
Below is an optimized crystal structure of Er3TmSc5, with properties calculated at the PBE level.

Results
Crystal system: tetragonal
DOS at the Fermi energy (states/eV/f.u.): 10.305
Energy relative to the elements (meV per atom): 300
Magnetic moment (μB/f.u.): 0.00

Unit cell a=8.3221 b=8.3221 c=14.0837 alpha=90.00 beta=90.00 gamma=90.00
Last column: nearest neighbours and their distance in Å.
Space group I4/mcm (No. 140)
Inequivalent atoms, fractional coordinates:
Er 0.0000 0.0000 0.2500  10 Sc 3.40-3.52
Er 0.1184 0.3816 0.0000  1 Er 2.79, 2 Sc 2.81
Tm 0.0000 0.5000 0.2500  4 Sc 2.91
Sc 0.0000 0.0000 0.0000  6 Er 3.33-3.52, 8 Sc 3.54
Sc 0.2055 0.2945 0.3653  1 Er 2.81, 1 Tm 2.91



9.
Below is an optimized crystal structure of HoTe3, with properties calculated at the PBE level.

Results
Crystal system: orthorhombic
DOS at the Fermi energy (states/eV/f.u.): 2.784
Formation energy from raw total energies (eV per atom): -0.69
Magnetic moment (μB/f.u.): 0.00

Unit cell a=4.3341 b=9.6409 c=5.9492 alpha=90.00 beta=90.00 gamma=90.00
Last column: nearest neighbours and their distance in Å.
Space group Imm2 (No. 44)
Inequivalent atoms, fractional coordinates:
Ho 0.0000 0.0000 0.0000  8 Te 3.05-3.35
Te 0.0000 0.3096 0.2555  1 Te 2.98, 2 Ho 3.19
Te 0.0000 0.5000 0.8613  2 Te 2.98, 2 Ho 3.05



10.
Below is an optimized crystal structure of PmHoSc3, with properties calculated at the PBE level.

Results
Crystal system: monoclinic
DOS at the Fermi energy (states/eV/f.u.): 9.376
Energy relative to the elements (meV per atom): 135
Distance to the lowest polymorph of the same formula (eV/atom): 0.1021
Magnetic moment (μB/f.u.): 0.00

Unit cell a=10.6854 b=6.6415 c=8.4304 alpha=90.00 beta=108.29 gamma=90.00
Last column: nearest neighbours and their distance in Å.
Space group C2/m (No. 12)
Inequivalent atoms, fractional coordinates:
Pm 0.0601 0.0000 0.2290  8 Sc 3.34-3.50, 2 Ho 3.55-3.59, 1 Pm 3.67
Ho 0.2141 0.5000 0.0022  6 Sc 3.18-3.55, 2 Ho 3.41, 1 Pm 3.55
Sc 0.0674 0.5000 0.2775  6 Sc 3.18-3.28, 2 Ho 3.18-3.19, 2 Pm 3.34
Sc 0.1535 0.2478 0.6144  7 Sc 3.18-3.35, 3 Pm 3.37-3.50, 2 Ho 3.50-3.55



11.
Below is an optimized crystal structure of Sr2ZnCr, with properties calculated at the PBE level.

Results
Crystal system: tetragonal
DOS at the Fermi energy (states/eV/f.u.): 4.297
Energy relative to the elements (meV per atom): 296
Magnetic moment (μB/f.u.): 4.24

Unit cell a=3.7484 b=3.7484 c=8.8864 alpha=90.00 beta=90.00 gamma=90.00
Last column: nearest neighbours and their distance in Å.
Space group P4mm (No. 99)
Inequivalent atoms, fractional coordinates:
Sr 0.0000 0.0000 0.0000  1 Zn 3.24, 4 Cr 3.49
Sr 0.5000 0.5000 0.3869  1 Cr 3.18, 4 Zn 3.45
Zn 0.0000 0.0000 0.6351  4 Cr 2.82
Cr 0.5000 0.5000 0.7443  4 Zn 2.82



12.
Below is an optimized crystal structure of MnCu4Ag, with properties calculated at the PBE level.

Results
Crystal system: cubic
DOS at the Fermi energy (states/eV/f.u.): 4.060
Energy relative to the elements (meV per atom): 106
Magnetic moment (μB/f.u.): 4.22

Unit cell a=6.8964 b=6.8964 c=6.8964 alpha=90.00 beta=90.00 gamma=90.00
Last column: nearest neighbours and their distance in Å.
Space group F-43m (No. 216)
Inequivalent atoms, fractional coordinates:
Mn 0.0000 0.0000 0.0000  12 Cu 2.86, 4 Ag 2.99
Cu 0.1252 0.1252 0.3748  6 Cu 2.43-2.44
Ag 0.2500 0.2500 0.7500  12 Cu 2.86, 4 Mn 2.99